1.
# CoTeP2

A crystal of CoTeP2 relaxed with PBEsol (SCAN, Alexandria).

Geometry as POSCAR:
```
CoTeP2
1.0
-2.963 0.792 -0.713
0.408 -1.104 -2.920
-2.080 -6.002 1.978
Te P Co
1 2 1
Cartesian
-0.888 -2.563 0.845
-3.080 -5.358 -0.102
-2.071 -5.976 1.970
-1.716 -1.420 -1.400
```

As for the total energy: -18.4788 eV per atom. Its symmetry is No. 99. The density of states at the Fermi level comes out at 1.143 states/eV per cell. The magnetization is 0.0 μB/cell.

=====

2.
# HgP2W

A crystal of HgP2W relaxed with PBEsol (SCAN, Alexandria).

Geometry as POSCAR:
```
HgP2W
1.0
-4.875 -2.488 -1.829
-1.665 -0.761 5.472
0.872 6.373 -1.891
P Hg W
4 2 2
Cartesian
-3.263 -0.106 3.556
-0.230 4.343 -0.742
-3.366 2.780 0.639
-4.475 -0.769 0.053
0.000 0.000 0.000
-2.031 1.994 2.702
-3.270 -1.624 1.822
-3.636 1.130 -0.949
```

As for the total energy: -39.3059 eV per atom. Its symmetry is No. 122. The density of states at the Fermi level comes out at 5.824 states/eV per cell. The magnetization is 0.0 μB/cell. The value obtained for the calculated formation energy is 357 meV/atom.

=====

3.
# TlCd2As

A crystal of TlCd2As relaxed with PBEsol (SCAN, Alexandria).

Geometry as POSCAR:
```
TlCd2As
1.0
3.267 0.159 0.000
-0.170 3.267 0.000
0.000 0.000 8.430
Tl As Cd
1 1 2
Cartesian
0.000 0.000 4.155
1.549 1.713 1.893
1.549 1.713 6.531
0.000 0.000 0.066
```

As for the total energy: -38.1924 eV per atom. Its symmetry is No. 35. The density of states at the Fermi level comes out at 1.335 states/eV per cell. The magnetization is 0.0 μB/cell. The energy above the most stable polymorph in this dataset is 0.30 eV/f.u. The value obtained for the calculated formation energy is 152 meV/atom.

=====

4.
# YZrCo2

A crystal of YZrCo2 relaxed with PBEsol (SCAN, Alexandria).

Geometry as POSCAR:
```
YZrCo2
1.0
3.546 0.000 0.000
0.000 3.546 0.000
0.000 0.000 5.535
Y Co Zr
1 2 1
Cartesian
0.000 0.000 2.393
1.773 1.773 1.579
0.000 0.000 5.239
1.773 1.773 4.626
```

As for the total energy: -23.0441 eV per atom. Its symmetry is No. 99. The density of states at the Fermi level comes out at 2.750 states/eV per cell. The magnetization is 0.0 μB/cell. The value obtained for the calculated formation energy is 243 meV/atom.

=====

5.
# LaReHg2

A crystal of LaReHg2 relaxed with PBEsol (SCAN, Alexandria).

Geometry as POSCAR:
```
LaReHg2
1.0
-3.155 -2.446 -1.816
-0.191 -2.450 3.633
-1.442 5.207 0.788
Hg La Re
2 1 1
Cartesian
-3.135 0.156 -0.060
0.000 0.000 0.000
-1.673 -2.448 0.909
-1.653 0.155 2.665
```

As for the total energy: -62.1474 eV per atom. Its symmetry is No. 119. The density of states at the Fermi level comes out at 2.417 states/eV per cell. The magnetization is 1.2 μB/cell. The energy above the most stable polymorph in this dataset is 0.56 eV/f.u. The value obtained for the calculated formation energy is 486 meV/atom.

=====

6.
# CuPtBr2

A crystal of CuPtBr2 relaxed with PBEsol (SCAN, Alexandria).

Geometry as POSCAR:
```
CuPtBr2
1.0
-0.033 0.609 3.521
1.280 -3.286 0.580
5.475 3.654 -2.395
Cu Pt Br
1 1 2
Cartesian
0.624 -1.338 2.051
3.690 -0.485 0.118
3.033 1.462 1.589
0.000 0.000 0.000
```

As for the total energy: -30.7491 eV per atom. Its symmetry is No. 119. The density of states at the Fermi level comes out at 1.110 states/eV per cell. The magnetization is 0.0 μB/cell. The energy above the most stable polymorph in this dataset is 0.40 eV/f.u.

=====

7.
# Cu2PPb

A crystal of Cu2PPb relaxed with PBEsol (SCAN, Alexandria).

Geometry as POSCAR:
```
Cu2PPb
1.0
-0.151 -2.771 -1.717
2.519 -1.441 2.103
-5.326 0.106 3.399
Cu P Pb
2 1 1
Cartesian
-2.855 -4.055 3.695
-2.841 -2.720 1.539
-3.956 -1.910 3.431
-0.406 -1.524 2.495
```

As for the total energy: -28.9559 eV per atom. Its symmetry is No. 44. The density of states at the Fermi level comes out at 1.675 states/eV per cell. The magnetization is 0.0 μB/cell. The value obtained for the calculated formation energy is 189 meV/atom.

=====

8.
# SrZn2Cr

A crystal of SrZn2Cr relaxed with PBEsol (SCAN, Alexandria).

Geometry as POSCAR:
```
SrZn2Cr
1.0
4.830 0.000 0.000
-2.415 4.183 0.045
0.000 2.746 3.973
Zn Sr Cr
2 1 1
Cartesian
0.000 2.778 1.016
0.000 0.000 0.000
2.415 4.151 3.002
2.415 1.373 1.987
```

As for the total energy: -16.7093 eV per atom. Its symmetry is No. 216. The density of states at the Fermi level comes out at 1.855 states/eV per cell. The magnetization is 4.3 μB/cell. The value obtained for the calculated formation energy is 213 meV/atom.